No. 1
VASP calculation (PBE-GGA) on LaCrHg4 after structural relaxation.

Results
crystal system = cubic
calculated volume = 148.2 Å³ per cell
DOS at the Fermi energy = 3.50 states/eV per cell
M_tot = 3.917 μB per formula unit
symmetry = No. 216
formation energy = 0.085 eV/atom

Lattice parameters (Å, degrees): 5.940 5.940 5.940 60.00 60.00 60.00
Atoms (fractional coordinates):
La 0.000 0.000 0.000
Cr 0.750 0.750 0.750
Hg 0.375 0.375 0.375
Hg 0.375 0.375 0.874
Hg 0.375 0.874 0.375
Hg 0.874 0.375 0.375

No. 2
VASP calculation (PBE-GGA) on SrMo2P after structural relaxation.

Results
crystal system = tetragonal
calculated volume = 78.5 Å³ per cell
DOS at the Fermi energy = 3.47 states/eV per cell
M_tot = 0.000 μB per formula unit
symmetry = No. 123
formation energy = 0.323 eV/atom

Lattice parameters (Å, degrees): 3.297 3.297 7.221 90.00 90.00 90.00
Atoms (fractional coordinates):
Sr 0.000 0.000 0.000
Mo 0.500 0.500 0.337
Mo 0.500 0.500 0.663
P 0.000 0.000 0.500

No. 3
VASP calculation (PBE-GGA) on Cs2Fe2Br7 after structural relaxation.

Results
crystal system = monoclinic
calculated volume = 523.6 Å³ per cell
DOS at the Fermi energy = 6.78 states/eV per cell
M_tot = 9.000 μB per formula unit
symmetry = No. 12

Lattice parameters (Å, degrees): 8.777 8.777 7.009 95.06 95.06 101.71
Atoms (fractional coordinates):
Cs 0.212 0.788 0.000
Cs 0.788 0.212 0.000
Fe 0.285 0.285 0.555
Fe 0.715 0.715 0.445
Br 0.108 0.399 0.730
Br 0.164 0.164 0.248
Br 0.399 0.108 0.730
Br 0.500 0.500 0.500
Br 0.601 0.892 0.270
Br 0.836 0.836 0.752
Br 0.892 0.601 0.270

No. 4
VASP calculation (PBE-GGA) on ThPaSeS after structural relaxation.

Results
crystal system = trigonal
calculated volume = 95.6 Å³ per cell
DOS at the Fermi energy = 5.23 states/eV per cell
M_tot = 0.624 μB per formula unit
symmetry = No. 160

Lattice parameters (Å, degrees): 7.842 7.842 7.842 28.27 28.27 28.27
Atoms (fractional coordinates):
Th 0.000 0.000 0.000
Pa 0.180 0.180 0.180
Se 0.761 0.761 0.761
S 0.587 0.587 0.587

No. 5
VASP calculation (PBE-GGA) on TlTcCl2 after structural relaxation.

Results
crystal system = monoclinic
calculated volume = 106.4 Å³ per cell
DOS at the Fermi energy = 2.21 states/eV per cell
M_tot = 1.282 μB per formula unit
symmetry = No. 10

Lattice parameters (Å, degrees): 5.716 3.202 6.474 90.00 116.13 90.00
Atoms (fractional coordinates):
Tl 0.000 0.000 0.000
Tc 0.500 0.000 0.000
Cl 0.345 0.500 0.689
Cl 0.655 0.500 0.311

No. 6
VASP calculation (PBE-GGA) on Sn2RhI after structural relaxation.

Results
crystal system = trigonal
calculated volume = 120.4 Å³ per cell
DOS at the Fermi energy = 1.79 states/eV per cell
M_tot = 0.000 μB per formula unit
symmetry = No. 166

Lattice parameters (Å, degrees): 8.766 8.766 8.766 26.76 26.76 26.76
Atoms (fractional coordinates):
Sn 0.116 0.116 0.116
Sn 0.884 0.884 0.884
Rh 0.500 0.500 0.500
I 0.000 0.000 0.000

No. 7
VASP calculation (PBE-GGA) on HfScAgHg after structural relaxation.

Results
crystal system = cubic
calculated volume = 83.0 Å³ per cell
DOS at the Fermi energy = 3.96 states/eV per cell
M_tot = 0.693 μB per formula unit
symmetry = No. 216
formation energy = -0.130 eV/atom

Lattice parameters (Å, degrees): 4.896 4.896 4.896 60.00 60.00 60.00
Atoms (fractional coordinates):
Hf 0.000 0.000 0.000
Sc 0.500 0.500 0.500
Ag 0.250 0.250 0.250
Hg 0.750 0.750 0.750

No. 8
VASP calculation (PBE-GGA) on Pr5InTe8 after structural relaxation.

Results
crystal system = tetragonal
calculated volume = 451.2 Å³ per cell
M_tot = 0.000 μB per formula unit
symmetry = No. 82

Lattice parameters (Å, degrees): 8.369 8.369 8.369 109.39 109.39 109.64
Atoms (fractional coordinates):
Pr 0.000 0.000 0.000
Pr 0.248 0.131 0.624
Pr 0.376 0.752 0.883
Pr 0.507 0.624 0.376
Pr 0.869 0.493 0.117
In 0.750 0.250 0.500
Te 0.129 0.377 0.911
Te 0.133 0.381 0.398
Te 0.265 0.867 0.248
Te 0.466 0.219 0.089
Te 0.619 0.017 0.752
Te 0.623 0.534 0.753
Te 0.781 0.871 0.247
Te 0.983 0.735 0.602

no.,total energy (eV/atom)
1,-2.541
2,-6.865
3,-3.729
4,-7.582
5,-4.265
6,-4.446
7,-4.990
8,-5.026